Computed, not measured: an optimized crystal structure of InReHg2Mo at the GGA-PBE level of DFT.

Structure (POSCAR):
```
InReHg2Mo
1.0
5.163 0.000 0.000
0.000 5.163 0.000
0.000 0.000 5.270
In Re Hg Mo
1 1 2 1
direct
0.000 0.000 0.000
0.500 0.500 0.500
0.000 0.500 0.000
0.500 0.000 0.000
0.000 0.000 0.500
```

Values from the calculation:
total magnetization: 6.2 Bohr magnetons per cell
calculated volume: 28.1 A^3/atom
E_form: 1104 kJ/mol of formula units
electronic total energy: -3.0349 eV/atom

Computed, not measured: an optimized crystal structure of In2HgN2 at the GGA-PBE level of DFT.

Structure (POSCAR):
```
In2HgN2
1.0
3.225 0.000 0.000
-0.305 5.985 0.000
-1.002 -3.022 6.644
In Hg N
2 1 2
direct
0.185 0.213 0.425
0.815 0.787 0.575
0.500 0.000 0.000
0.067 0.466 0.929
0.933 0.534 0.071
```

Values from the calculation:
total magnetization: 0.0 Bohr magnetons per cell
E_form (uncorrected): 0.18 eV per atom
distance to the lowest polymorph of the same formula: 0 meV/atom
calculated volume: 25.6 A^3/atom
electronic total energy: -4.3071 eV/atom

Computed, not measured: an optimized crystal structure of In2HgN2 at the GGA-PBE level of DFT.

Structure (POSCAR):
```
In2HgN2
1.0
7.293 0.000 0.000
0.000 7.293 0.000
0.000 0.000 3.513
In Hg N
4 2 4
direct
0.133 0.367 0.000
0.367 0.867 0.000
0.633 0.133 0.000
0.867 0.633 0.000
0.000 0.000 0.500
0.500 0.500 0.500
0.245 0.745 0.500
0.255 0.245 0.500
0.745 0.755 0.500
0.755 0.255 0.500
```

Values from the calculation:
total magnetization: 0.0 Bohr magnetons per cell
E_form (uncorrected): 0.84 eV per atom
distance to the lowest polymorph of the same formula: 658 meV/atom
calculated volume: 18.7 A^3/atom
electronic total energy: -3.6488 eV/atom

Computed, not measured: an optimized crystal structure of In2HgN at the GGA-PBE level of DFT.

Structure (POSCAR):
```
In2HgN
1.0
0.000 3.466 3.466
3.466 0.000 3.466
3.466 3.466 0.000
In Hg N
2 1 1
direct
0.250 0.250 0.250
0.750 0.750 0.750
0.000 0.000 0.000
0.500 0.500 0.500
```

Values from the calculation:
total magnetization: 0.0 Bohr magnetons per cell
E_form (uncorrected): 0.92 eV per atom
calculated volume: 20.8 A^3/atom
electronic total energy: -2.6086 eV/atom

Computed, not measured: an optimized crystal structure of InHg2N at the GGA-PBE level of DFT.

Structure (POSCAR):
```
InHg2N
1.0
0.000 3.450 3.450
3.450 0.000 3.450
3.450 3.450 0.000
In Hg N
1 2 1
direct
0.000 0.000 0.000
0.250 0.250 0.250
0.750 0.750 0.750
0.500 0.500 0.500
```

Values from the calculation:
total magnetization: 0.0 Bohr magnetons per cell
E_form (uncorrected): 1.14 eV per atom
distance to the lowest polymorph of the same formula: 415 meV/atom
calculated volume: 20.5 A^3/atom
electronic total energy: -1.7736 eV/atom

Computed, not measured: an optimized crystal structure of InHgN3 at the GGA-PBE level of DFT.

Structure (POSCAR):
```
InHgN3
1.0
4.261 0.000 0.000
0.000 4.261 0.000
0.000 0.000 4.261
In Hg N
1 1 3
direct
0.000 0.000 0.000
0.500 0.500 0.500
0.000 0.500 0.500
0.500 0.000 0.500
0.500 0.500 0.000
```

Values from the calculation:
total magnetization: 3.0 Bohr magnetons per cell
E_form (uncorrected): 2.34 eV per atom
calculated volume: 15.5 A^3/atom
electronic total energy: -3.2601 eV/atom